(1)
This record from Alexandria via LeMat-Bulk describes a relaxed structure of LiHoTlCo. The functional is PBE.

Values from the calculation:
Theoretical density ... 9.90 g cm⁻³
M_tot ... 0.25 μB per atom
Calculated formation energy ... -0.07 eV per atom

abc: 4.6910 4.6910 4.6910
angles: 60.00 60.00 60.00
Last column: magnetic moment on the atom in μB.
Element x y z (fractional)
Tl  0.2500  0.2500  0.2500  0.04
Co  0.5000  0.5000  0.5000  0.80
Ho  0.7500  0.7500  0.7500  0.05
Li  0.0000  0.0000  0.0000  0.00



(2)
This record from Alexandria via LeMat-Bulk describes a relaxed structure of Sc2TlIr. The functional is PBE.

Values from the calculation:
Theoretical density ... 9.49 g cm⁻³
M_tot ... 0.11 μB per atom
Calculated formation energy ... -0.23 eV per atom

abc: 3.2313 3.2313 8.1536
angles: 90.00 90.00 90.00
Last column: magnetic moment on the atom in μB.
Element x y z (fractional)
Ir  0.5000  0.5000  0.7645  0.02
Sc  0.0000  0.0000  0.9411  0.01
Sc  0.5000  0.5000  0.2673  0.26
Tl  0.0000  0.0000  0.5271  0.00



(3)
This record from Alexandria via LeMat-Bulk describes a relaxed structure of Hf3CdPd. The functional is PBE.

Values from the calculation:
Theoretical density ... 9.89 g cm⁻³
M_tot ... 0.00 μB per atom
Calculated formation energy ... 0.44 eV per atom

abc: 5.0217 5.0217 5.0217
angles: 90.00 90.00 90.00
Element x y z (fractional)
Hf  0.0000  0.5000  0.0000
Hf  0.0000  0.0000  0.5000
Hf  0.5000  0.0000  0.0000
Pd  0.0000  0.0000  0.0000
Cd  0.5000  0.5000  0.5000



Among the records above, which one has the lowest M_tot?
Hf3CdPd